# Pr3OsI3 (GGA-PBEsol, optimized geometry)
data_Pr3OsI3
_symmetry_space_group_name_H-M 'P 1 21/m 1'
_symmetry_Int_Tables_number 11
_symmetry_space_group_name_Hall '-P 2yb'
_cell_length_a 9.1221
_cell_length_b 4.2822
_cell_length_c 12.4155
_cell_angle_alpha 90.00
_cell_angle_beta 93.13
_cell_angle_gamma 90.00
loop_
_atom_site_label
_atom_site_type_symbol
_atom_site_fract_x
_atom_site_fract_y
_atom_site_fract_z
_atom_site_occupancy
Pr1 Pr 0.1016 0.2500 0.3866 1
Pr2 Pr 0.1150 0.2500 0.8352 1
Pr3 Pr 0.3093 0.7500 0.6181 1
Os1 Os 0.1066 0.2500 0.6188 1
I1 I 0.1404 0.2500 0.1153 1
I2 I 0.3712 0.7500 0.8771 1
I3 I 0.3984 0.7500 0.3640 1
# Mass density, g cm⁻³: 6.815
# VASP energy, eV per cell: -79.1
# Formation energy from raw total energies, eV/atom: -0.93
# Volume, Å³/atom: 34.59

***

# DyTmCd2 (GGA-PBEsol, optimized geometry)
data_DyTmCd2
_symmetry_space_group_name_H-M 'F m -3 m'
_symmetry_Int_Tables_number 225
_symmetry_space_group_name_Hall '-F 4 2 3'
_cell_length_a 7.3039
_cell_length_b 7.3039
_cell_length_c 7.3039
_cell_angle_alpha 90.00
_cell_angle_beta 90.00
_cell_angle_gamma 90.00
loop_
_atom_site_label
_atom_site_type_symbol
_atom_site_fract_x
_atom_site_fract_y
_atom_site_fract_z
_atom_site_occupancy
Dy1 Dy 0.0000 0.0000 0.0000 1
Tm1 Tm 0.0000 0.0000 0.5000 1
Cd1 Cd 0.2500 0.2500 0.2500 1
# Mass density, g cm⁻³: 9.482
# Formation energy from the elements, eV per atom: -0.3408
# VASP energy, eV per cell: -54.5
# Volume, Å³/atom: 24.35

***

# CsSr2Tl (GGA-PBEsol, optimized geometry)
data_CsSr2Tl
_symmetry_space_group_name_H-M 'F m -3 m'
_symmetry_Int_Tables_number 225
_symmetry_space_group_name_Hall '-F 4 2 3'
_cell_length_a 8.4957
_cell_length_b 8.4957
_cell_length_c 8.4957
_cell_angle_alpha 90.00
_cell_angle_beta 90.00
_cell_angle_gamma 90.00
loop_
_atom_site_label
_atom_site_type_symbol
_atom_site_fract_x
_atom_site_fract_y
_atom_site_fract_z
_atom_site_occupancy
Cs1 Cs 0.0000 0.0000 0.0000 1
Sr1 Sr 0.2500 0.2500 0.2500 1
Tl1 Tl 0.0000 0.0000 0.5000 1
# Mass density, g cm⁻³: 5.552
# Formation energy from the elements, eV per atom: -0.0821
# VASP energy, eV per cell: -30.3
# Volume, Å³/atom: 38.32

***

# CoRu2Br (GGA-PBEsol, optimized geometry)
data_CoRu2Br
_symmetry_space_group_name_H-M 'C m m m'
_symmetry_Int_Tables_number 65
_symmetry_space_group_name_Hall '-C 2 2'
_cell_length_a 2.7987
_cell_length_b 4.7740
_cell_length_c 8.6828
_cell_angle_alpha 90.00
_cell_angle_beta 90.00
_cell_angle_gamma 90.00
loop_
_atom_site_label
_atom_site_type_symbol
_atom_site_fract_x
_atom_site_fract_y
_atom_site_fract_z
_atom_site_occupancy
Co1 Co 0.0000 0.0000 0.0000 1
Ru1 Ru 0.0000 0.5000 0.2306 1
Br1 Br 0.0000 0.0000 0.5000 1
# Mass density, g cm⁻³: 9.761
# VASP energy, eV per cell: -52.5
# Formation energy from raw total energies, eV/atom: 0.92
# Distance to the lowest polymorph of the same formula, meV per atom: 228
# Volume, Å³/atom: 14.50

***

no.,DOS(E_F) (states/eV/cell)
1,1.94
2,16.07
3,3.37
4,11.74